BaTaP3 | PBE | relaxed

Lattice parameters (Å, degrees): 4.926 4.926 4.926 90.00 90.00 90.00
Element x y z (fractional)
1 P 0.000 0.500 0.000
2 P 0.500 0.000 0.000
3 P 0.000 0.000 0.500
4 Ta 0.000 0.000 0.000
5 Ba 0.500 0.500 0.500

Properties
Offset from the most stable computed form = 0.0 meV/atom
DFT formation energy = -0.531 eV per atom

TaTcRu2S | PBE | relaxed

Lattice parameters (Å, degrees): 4.264 4.554 4.264 90.00 90.00 90.00
Site moments in Bohr magnetons follow the coordinates.
Element x y z (fractional)
1 S 0.000 0.000 0.000  0.05
2 Tc 0.500 0.500 0.500  1.61
3 Ru 0.500 0.000 0.000  0.18
4 Ru 0.000 0.000 0.500  0.18
5 Ta 0.000 0.500 0.000  -0.18

Properties
E_form (uncorrected) = 0.57 eV per atom

V4Ge2H | PBE | relaxed

Lattice parameters (Å, degrees): 2.940 6.536 9.203 90.00 90.00 90.00
Element x y z (fractional)
1 V 0.500 0.674 0.084
2 V 0.000 0.617 0.813
3 V 0.000 0.117 0.687
4 V 0.000 0.883 0.313
5 V 0.500 0.174 0.416
6 V 0.000 0.383 0.187
7 V 0.500 0.326 0.916
8 V 0.500 0.826 0.584
9 Ge 0.500 0.570 0.367
10 Ge 0.500 0.070 0.133
11 Ge 0.500 0.430 0.633
12 Ge 0.500 0.930 0.867
13 H 0.000 0.500 0.000
14 H 0.000 0.000 0.500

Properties
Offset from the most stable computed form = 115.6 meV/atom

YIrPd3 | PBE | relaxed

Lattice parameters (Å, degrees): 4.876 4.876 4.876 90.00 90.00 90.00
Site moments in Bohr magnetons follow the coordinates.
Element x y z (fractional)
1 Pd 0.500 0.000 0.000  0.02
2 Pd 0.000 0.000 0.500  -0.01
3 Pd 0.000 0.500 0.000  -0.02
4 Ir 0.500 0.500 0.500  1.00
5 Y 0.000 0.000 0.000  -0.04

Properties
DFT formation energy = 1.261 eV per atom

Fermi-level density of states for the records above, in order: 6.20; 6.03; 14.97; 5.04 states/eV per cell
Total magnetization for the records above, in order: 0.0; 2.0; 0.0; 0.9 μB per formula unit
Total DFT energy (no corrections) for the records above, in order: -32.7; -42.0; -100.3; -24.6 eV/cell